An optimized crystal structure of ErZrInIr. Source: Alexandria, functional PBE-GGA.

a = 4.9310 Å, b = 4.9310 Å, c = 4.9310 Å
α = 60.00°, β = 60.00°, γ = 60.00°
Fractional coordinates of all 4 atoms:
1 Ir 0.2500 0.2500 0.2500
2 In 0.7500 0.7500 0.7500
3 Zr 0.0000 0.0000 0.0000
4 Er 0.5000 0.5000 0.5000

Values from the calculation:
Its density of states at the Fermi level is 3.5 states/eV/f.u. The calculation puts the total energy at -26.45 eV per cell. The calculation puts the formation energy at -0.43 eV/atom.